The following is a DFT calculation (meta-GGA SCAN) of a PBEsol-optimized structure of BaReHg2W.

Cell: 4.7550 5.3139 5.3139 Å, 90.00 90.00 90.00°
With the nearest neighbours (Å) after each atom.
Positions (direct):
1 Ba 0.5000 0.5000 0.5000  8 Hg 3.57, 4 W 3.76
2 Re 0.0000 0.0000 0.0000  2 W 2.38, 4 Hg 2.66
3 W 0.5000 0.0000 0.0000  2 Re 2.38
4 Hg 0.0000 0.5000 0.0000  2 Re 2.66
5 Hg 0.0000 0.0000 0.5000  2 Re 2.66

Calculated values
total energy: -62.6616 eV/atom

The following is a DFT calculation (meta-GGA SCAN) of a PBEsol-optimized structure of K2MnBeRe.

Cell: 4.2852 6.0298 6.0298 Å, 90.00 90.00 90.00°
With the nearest neighbours (Å) after each atom.
Positions (direct):
1 Re 0.5000 0.5000 0.5000  8 K 3.70
2 Be 0.5000 0.0000 0.0000  2 Mn 2.14
3 K 0.0000 0.0000 0.5000  2 Mn 3.01
4 K 0.0000 0.5000 0.0000  2 Mn 3.01
5 Mn 0.0000 0.0000 0.0000  2 Be 2.14

Calculated values
total energy: -20.1078 eV/atom

The following is a DFT calculation (meta-GGA SCAN) of a PBEsol-optimized structure of NiAs2Br.

Cell: 3.3007 3.3007 6.8336 Å, 90.00 90.00 89.90°
With the nearest neighbours (Å) after each atom.
Positions (direct):
1 As 0.0000 0.0000 0.0351  4 Ni 2.55, 4 As 2.72, 1 Br 2.83
2 As 0.5000 0.5000 0.8301  1 Ni 2.43, 2 As 2.72
3 Ni 0.5000 0.5000 0.1858  5 As 2.43-2.55
4 Br 0.0000 0.0000 0.4491  1 As 2.83, 4 Ni 2.95

Calculated values
energy above the lowest structure with this stoichiometry: 0 meV/atom
formation energy (no corrections): 211 meV per atom

The following is a DFT calculation (meta-GGA SCAN) of a PBEsol-optimized structure of Zn2InGa2.

Cell: 4.0106 4.0106 6.3579 Å, 108.39 108.39 90.00°
With the nearest neighbours (Å) after each atom.
Positions (direct):
1 Zn 0.2500 0.7500 0.5000  4 Ga 2.57, 4 Zn 2.84
2 Zn 0.7500 0.2500 0.5000  4 Ga 2.57, 4 Zn 2.84
3 In 0.0000 0.0000 0.0000  8 Ga 3.09
4 Ga 0.6087 0.6087 0.2174  1 Ga 2.47, 4 Zn 2.57
5 Ga 0.3913 0.3913 0.7826  1 Ga 2.47, 4 Zn 2.57

Calculated values
energy above the lowest structure with this stoichiometry: 0 meV/atom

The following is a DFT calculation (meta-GGA SCAN) of a PBEsol-optimized structure of ScAs2Os.

Cell: 3.0786 3.0786 6.7743 Å, 90.00 90.00 97.01°
With the nearest neighbours (Å) after each atom.
Positions (direct):
1 Sc 0.5000 0.5000 0.0000  8 As 2.74-2.94
2 Os 0.5000 0.5000 0.5000  8 As 2.57-2.78
3 As 0.0000 0.0000 0.7297  4 Os 2.57-2.78, 2 Sc 2.74
4 As 0.0000 0.0000 0.2703  4 Os 2.57-2.78, 2 Sc 2.74

Calculated values
energy above the lowest structure with this stoichiometry: 307 meV/atom

The following is a DFT calculation (meta-GGA SCAN) of a PBEsol-optimized structure of LaReAs3.

Cell: 5.4514 5.4514 5.4514 Å, 90.00 90.00 90.00°
With the nearest neighbours (Å) after each atom.
Positions (direct):
1 Re 0.5000 0.5000 0.5000  12 As 3.85
2 As 0.0000 0.5000 0.0000  2 La 2.73
3 As 0.0000 0.0000 0.5000  2 La 2.73
4 As 0.5000 0.0000 0.0000  2 La 2.73
5 La 0.0000 0.0000 0.0000  6 As 2.73

Calculated values
total energy: -33.1446 eV/atom

The following is a DFT calculation (meta-GGA SCAN) of a PBEsol-optimized structure of K2CoAs.

Cell: 4.1452 4.1452 5.8860 Å, 110.62 110.62 90.00°
With the nearest neighbours (Å) after each atom.
Positions (direct):
1 K 0.2500 0.7500 0.5000  4 K 2.93
2 K 0.7500 0.2500 0.5000  4 K 2.93
3 Co 0.0000 0.0000 0.0000  4 As 2.93
4 As 0.5000 0.5000 0.0000  4 Co 2.93

Calculated values
total energy: -13.0356 eV/atom

The following is a DFT calculation (meta-GGA SCAN) of a PBEsol-optimized structure of HfBe2Cd.

Cell: 5.5159 5.5159 5.5159 Å, 105.06 105.06 118.71°
With the nearest neighbours (Å) after each atom.
Positions (direct):
1 Be 0.1250 0.6040 0.9790  2 Cd 2.38, 2 Hf 2.57
2 Be 0.3960 0.3750 0.5210  2 Cd 2.38, 2 Hf 2.57
3 Be 0.6250 0.1460 0.0210  2 Cd 2.38, 2 Hf 2.57
4 Be 0.8540 0.8750 0.4790  2 Cd 2.38, 2 Hf 2.57
5 Cd 0.7500 0.2500 0.5000  4 Be 2.38
6 Cd 0.5000 0.5000 0.0000  4 Be 2.38
7 Hf 0.2500 0.7500 0.5000  4 Be 2.57, 2 Cd 2.81
8 Hf 0.0000 0.0000 0.0000  4 Be 2.57, 2 Cd 2.81

Calculated values
total energy: -24.9142 eV/atom

The following is a DFT calculation (meta-GGA SCAN) of a PBEsol-optimized structure of Cu2Pb2F.

Cell: 3.4260 3.4260 8.0370 Å, 102.31 102.31 90.00°
With the nearest neighbours (Å) after each atom.
Positions (direct):
1 Pb 0.3990 0.3990 0.7981  4 Cu 2.86, 4 F 2.87, 1 Pb 3.09
2 Pb 0.6010 0.6010 0.2019  4 Cu 2.86, 4 F 2.87, 1 Pb 3.09
3 F 0.0000 0.0000 0.0000  8 Pb 2.87
4 Cu 0.7500 0.2500 0.5000  4 Cu 2.42
5 Cu 0.2500 0.7500 0.5000  4 Cu 2.42

Calculated values
formation energy (no corrections): -307 meV per atom

The following is a DFT calculation (meta-GGA SCAN) of a PBEsol-optimized structure of CrInRe2.

Cell: 3.1078 4.3868 4.3868 Å, 90.00 90.00 90.00°
With the nearest neighbours (Å) after each atom.
Positions (direct):
1 In 0.5000 0.0000 0.0000  8 Re 2.69
2 Re 0.0000 0.5000 0.0000  4 Cr 2.69, 4 In 2.69
3 Re 0.0000 0.0000 0.5000  4 In 2.69, 4 Cr 2.69
4 Cr 0.5000 0.5000 0.5000  8 Re 2.69

Calculated values
total energy: -47.8474 eV/atom

The following is a DFT calculation (meta-GGA SCAN) of a PBEsol-optimized structure of BaCa2Cd2.

Cell: 4.3892 8.7282 8.7282 Å, 90.00 90.00 90.00°
With the nearest neighbours (Å) after each atom.
Positions (direct):
1 Ca 0.5000 0.1630 0.6630  6 Cd 3.34-3.45
2 Ca 0.5000 0.6630 0.8370  6 Cd 3.34-3.45
3 Ca 0.5000 0.8370 0.3370  6 Cd 3.34-3.45
4 Ca 0.5000 0.3370 0.1630  6 Cd 3.34-3.45
5 Cd 0.0000 0.6218 0.1218  1 Cd 3.01, 4 Ca 3.34
6 Cd 0.0000 0.8782 0.6218  1 Cd 3.01, 4 Ca 3.34
7 Cd 0.0000 0.1218 0.3782  1 Cd 3.01, 4 Ca 3.34
8 Cd 0.0000 0.3782 0.8782  1 Cd 3.01, 4 Ca 3.34
9 Ba 0.0000 0.5000 0.5000  4 Cd 3.47
10 Ba 0.0000 0.0000 0.0000  4 Cd 3.47

Calculated values
energy above the lowest structure with this stoichiometry: 0 meV/atom

The following is a DFT calculation (meta-GGA SCAN) of a PBEsol-optimized structure of Fe2PbCl.

Cell: 3.1519 3.1519 7.4142 Å, 90.00 90.00 90.00°
With the nearest neighbours (Å) after each atom.
Positions (direct):
1 Pb 0.0000 0.0000 0.4344  5 Fe 2.94-2.95, 4 Pb 3.15
2 Cl 0.5000 0.5000 0.8529  5 Fe 2.40-2.61
3 Fe 0.0000 0.0000 0.0360  4 Fe 2.46, 4 Cl 2.61
4 Fe 0.5000 0.5000 0.1768  1 Cl 2.40, 4 Fe 2.46

Calculated values
energy above the lowest structure with this stoichiometry: 0 meV/atom
formation energy (no corrections): -28 meV per atom

The following is a DFT calculation (meta-GGA SCAN) of a PBEsol-optimized structure of InIr2Cl.

Cell: 4.0394 4.0394 4.8833 Å, 114.43 114.43 90.00°
With the nearest neighbours (Å) after each atom.
Positions (direct):
1 Ir 0.7500 0.2500 0.5000  4 In 2.83, 4 Cl 2.83, 4 Ir 2.86
2 Ir 0.2500 0.7500 0.5000  4 In 2.83, 4 Cl 2.83, 4 Ir 2.86
3 In 0.0000 0.0000 0.0000  8 Ir 2.83, 4 Cl 2.86
4 Cl 0.5000 0.5000 0.0000  8 Ir 2.83, 4 In 2.86

Calculated values
energy above the lowest structure with this stoichiometry: 394 meV/atom
formation energy (no corrections): 872 meV per atom

The following is a DFT calculation (meta-GGA SCAN) of a PBEsol-optimized structure of K2Zr3OF12.

Cell: 7.6723 7.6723 10.5268 Å, 68.63 68.63 60.00°
With the nearest neighbours (Å) after each atom.
Positions (direct):
1 F 0.0848 0.0848 0.2320  2 Zr 2.20, 1 O 2.43
2 F 0.5984 0.0848 0.2320  2 Zr 2.20, 1 O 2.43
3 F 0.3461 0.3461 0.3953  1 Zr 1.98
4 F 0.9125 0.3461 0.3953  1 Zr 1.98
5 F 0.7035 0.3676 0.2254  2 Zr 2.14
6 F 0.6539 0.0875 0.6047  1 Zr 1.98
7 F 0.7035 0.7035 0.2254  2 Zr 2.14
8 F 0.0000 0.6512 0.0000  2 Zr 2.14, 1 F 2.32
9 F 0.3461 0.9125 0.3953  1 Zr 1.98
10 F 0.0875 0.6539 0.6047  1 Zr 1.98
11 F 0.2965 0.6324 0.7746  2 Zr 2.14
12 F 0.6324 0.2965 0.7746  2 Zr 2.14
13 F 0.6512 0.3488 0.0000  2 Zr 2.14, 1 F 2.32
14 F 0.6539 0.6539 0.6047  1 Zr 1.98
15 F 0.0848 0.5984 0.2320  2 Zr 2.20, 1 O 2.43
16 F 0.2965 0.2965 0.7746  2 Zr 2.14
17 F 0.4016 0.9152 0.7680  2 Zr 2.20, 1 O 2.43
18 F 0.3676 0.7035 0.2254  2 Zr 2.14
19 F 0.0000 0.3488 0.0000  2 Zr 2.14, 1 F 2.32
20 F 0.3488 0.6512 0.0000  2 Zr 2.14, 1 F 2.32
21 F 0.3488 0.0000 0.0000  2 Zr 2.14, 1 F 2.32
22 F 0.9152 0.9152 0.7680  2 Zr 2.20, 1 O 2.43
23 F 0.6512 0.0000 0.0000  2 Zr 2.14, 1 F 2.32
24 F 0.9152 0.4016 0.7680  2 Zr 2.20, 1 O 2.43
25 Zr 0.4221 0.4221 0.1877  7 F 1.98-2.20, 1 O 2.06
26 Zr 0.0319 0.5779 0.8123  7 F 1.98-2.20, 1 O 2.06
27 Zr 0.5779 0.5779 0.8123  7 F 1.98-2.20, 1 O 2.06
28 Zr 0.9681 0.4221 0.1877  7 F 1.98-2.20, 1 O 2.06
29 Zr 0.4221 0.9681 0.1877  7 F 1.98-2.20, 1 O 2.06
30 Zr 0.5779 0.0319 0.8123  7 F 1.98-2.20, 1 O 2.06
31 O 0.7138 0.7138 0.8586  3 Zr 2.06
32 O 0.2862 0.2862 0.1414  3 Zr 2.06
33 K 0.1377 0.1377 0.5868  6 F 2.65-2.76
34 K 0.8623 0.8623 0.4132  6 F 2.65-2.76
35 K 0.5000 0.5000 0.5000  12 F 2.70-3.02
36 K 0.0000 0.0000 0.0000  6 F 2.68

Calculated values
formation energy (no corrections): -3859 meV per atom

The following is a DFT calculation (meta-GGA SCAN) of a PBEsol-optimized structure of Na3PtN.

Cell: 4.5940 4.5940 4.5940 Å, 90.00 90.00 90.00°
With the nearest neighbours (Å) after each atom.
Positions (direct):
1 N 0.0000 0.0000 0.0000  6 Na 2.30
2 Pt 0.5000 0.5000 0.5000  12 Na 3.25
3 Na 0.5000 0.0000 0.0000  2 N 2.30
4 Na 0.0000 0.5000 0.0000  2 N 2.30
5 Na 0.0000 0.0000 0.5000  2 N 2.30

Calculated values
energy above the lowest structure with this stoichiometry: 0 meV/atom
formation energy (no corrections): 461 meV per atom

The following is a DFT calculation (meta-GGA SCAN) of a PBEsol-optimized structure of CaGa3Re.

Cell: 5.0702 5.0702 5.0702 Å, 90.00 90.00 90.00°
With the nearest neighbours (Å) after each atom.
Positions (direct):
1 Ga 0.0000 0.0000 0.5000  2 Ca 2.54
2 Ga 0.0000 0.5000 0.0000  2 Ca 2.54
3 Ga 0.5000 0.0000 0.0000  2 Ca 2.54
4 Ca 0.0000 0.0000 0.0000  6 Ga 2.54
5 Re 0.5000 0.5000 0.5000  12 Ga 3.59

Calculated values
total energy: -23.9569 eV/atom

The following is a DFT calculation (meta-GGA SCAN) of a PBEsol-optimized structure of Ba2MgBr.

Cell: 4.0827 5.7253 6.9714 Å, 90.00 107.03 90.00°
With the nearest neighbours (Å) after each atom.
Positions (direct):
1 Mg 0.7352 0.0000 0.4704  7 Ba 3.53-3.75
2 Br 0.5096 0.5000 0.0192  5 Ba 3.39-3.52
3 Ba 0.9997 0.0000 0.9993  4 Br 3.52, 3 Mg 3.53-3.75
4 Ba 0.2555 0.5000 0.5111  1 Br 3.39, 4 Mg 3.53

Calculated values
energy above the lowest structure with this stoichiometry: 0 meV/atom
formation energy (no corrections): -770 meV per atom

The following is a DFT calculation (meta-GGA SCAN) of a PBEsol-optimized structure of AlTc2Ru.

Cell: 2.6812 2.6812 8.5369 Å, 90.00 90.00 114.80°
With the nearest neighbours (Å) after each atom.
Positions (direct):
1 Tc 0.5000 0.5000 0.7484  8 Tc 2.58-2.89, 2 Al 2.59
2 Tc 0.0000 0.0000 0.9991  8 Tc 2.58-2.89, 2 Ru 2.63
3 Ru 0.5000 0.5000 0.2567  2 Al 2.50, 2 Tc 2.63, 4 Ru 2.68
4 Al 0.0000 0.0000 0.4959  2 Ru 2.50, 2 Tc 2.59, 4 Al 2.68

Calculated values
energy above the lowest structure with this stoichiometry: 321 meV/atom

The following is a DFT calculation (meta-GGA SCAN) of a PBEsol-optimized structure of ScRh3Se.

Cell: 4.5808 4.5808 4.5808 Å, 90.00 90.00 90.00°
With the nearest neighbours (Å) after each atom.
Positions (direct):
1 Se 0.5000 0.5000 0.5000  12 Rh 3.24
2 Rh 0.5000 0.0000 0.0000  2 Sc 2.29
3 Rh 0.0000 0.5000 0.0000  2 Sc 2.29
4 Rh 0.0000 0.0000 0.5000  2 Sc 2.29
5 Sc 0.0000 0.0000 0.0000  6 Rh 2.29

Calculated values
formation energy (no corrections): 1000 meV per atom

The following is a DFT calculation (meta-GGA SCAN) of a PBEsol-optimized structure of Mg6BSb.

Cell: 4.0397 6.3479 6.3479 Å, 96.51 90.00 90.00°
With the nearest neighbours (Å) after each atom.
Positions (direct):
1 Mg 0.5000 0.6008 0.8862  1 B 2.44
2 Mg 0.0000 0.9420 0.7082  2 B 2.68, 2 Mg 2.92-2.96
3 Mg 0.0000 0.3822 0.6178  2 B 2.55
4 Mg 0.0000 0.2918 0.0580  2 B 2.68, 2 Mg 2.92-2.96
5 Mg 0.5000 0.1138 0.3992  1 B 2.44
6 Mg 0.0000 0.8348 0.1652  2 Sb 2.89, 6 Mg 2.97-3.05
7 B 0.5000 0.2185 0.7815  8 Mg 2.44-2.68
8 Sb 0.5000 0.6162 0.3838  8 Mg 2.89-3.20

Calculated values
formation energy (no corrections): 144 meV per atom